Entry from Alexandria: an optimized crystal structure of GaOsCl2 (GGA-PBE). Values from VASP.

Quantum ESPRESSO input file:
```
&SYSTEM
  ibrav = 0, nat = 16, ntyp = 3
/
ATOMIC_SPECIES
Ga 69.72 Ga.upf
Os 190.23 Os.upf
Cl 35.45 Cl.upf
CELL_PARAMETERS angstrom
6.760 0.000 0.000
0.000 6.760 0.000
0.000 0.000 6.760
ATOMIC_POSITIONS crystal
Ga 0.000 0.000 0.000
Ga 0.000 0.500 0.500
Ga 0.500 0.000 0.500
Ga 0.500 0.500 0.000
Os 0.000 0.000 0.500
Os 0.000 0.500 0.000
Os 0.500 0.000 0.000
Os 0.500 0.500 0.500
Cl 0.250 0.250 0.250
Cl 0.250 0.250 0.750
Cl 0.250 0.750 0.250
Cl 0.250 0.750 0.750
Cl 0.750 0.250 0.250
Cl 0.750 0.250 0.750
Cl 0.750 0.750 0.250
Cl 0.750 0.750 0.750
```

Calculated values
* Fermi-level density of states: 0.50 states/eV/f.u.
* VASP energy: -57.46 eV per cell
* energy above the lowest structure with this stoichiometry: 480.5 meV/atom
* formation energy from raw total energies: 3.6 eV per formula unit

=====

Entry from Alexandria: an optimized crystal structure of K2Be (GGA-PBE). Values from VASP.

Quantum ESPRESSO input file:
```
&SYSTEM
  ibrav = 0, nat = 3, ntyp = 2
/
ATOMIC_SPECIES
K 39.10 K.upf
Be 9.01 Be.upf
CELL_PARAMETERS angstrom
5.671 0.000 0.000
-2.835 4.911 0.000
0.000 0.000 4.583
ATOMIC_POSITIONS crystal
K 0.333 0.667 0.284
K 0.667 0.333 0.716
Be 0.000 0.000 0.000
```

Calculated values
* Fermi-level density of states: 2.18 states/eV/f.u.
* VASP energy: -3.38 eV per cell
* energy above the lowest structure with this stoichiometry: 388.5 meV/atom

=====

Entry from Alexandria: an optimized crystal structure of RbSrAs (GGA-PBE). Values from VASP.

Quantum ESPRESSO input file:
```
&SYSTEM
  ibrav = 0, nat = 12, ntyp = 3
/
ATOMIC_SPECIES
Rb 85.47 Rb.upf
Sr 87.62 Sr.upf
As 74.92 As.upf
CELL_PARAMETERS angstrom
7.788 0.000 0.000
0.000 7.788 0.000
0.000 0.000 7.788
ATOMIC_POSITIONS crystal
Rb 0.000 0.000 0.000
Rb 0.000 0.500 0.500
Rb 0.500 0.000 0.500
Rb 0.500 0.500 0.000
Sr 0.000 0.000 0.500
Sr 0.000 0.500 0.000
Sr 0.500 0.000 0.000
Sr 0.500 0.500 0.500
As 0.250 0.250 0.250
As 0.250 0.750 0.750
As 0.750 0.250 0.750
As 0.750 0.750 0.250
```

Calculated values
* VASP energy: -36.87 eV per cell